Density functional theory data (GGA-PBE) for an optimized crystal structure of La11Ir4Pb9.

Unit cell a=4.1343 b=13.4633 c=13.4633 alpha=112.61 beta=90.00 gamma=90.00
Element x y z (fractional)
Pb 0.5000 0.0700 0.2170
La 0.0000 0.3741 0.6259
La 0.0000 0.3103 0.3103
La 0.0000 0.0830 0.4167
Pb 0.5000 0.6293 0.1556
Ir 0.5000 0.7578 0.5534
Ir 0.5000 0.5534 0.7578
La 0.0000 0.0000 0.0000
La 0.0000 0.8369 0.1631
La 0.0000 0.1631 0.8369
La 0.0000 0.5833 0.9170
Pb 0.5000 0.2170 0.0700
Pb 0.5000 0.9300 0.7830
Ir 0.5000 0.4466 0.2422
Pb 0.5000 0.7830 0.9300
La 0.0000 0.9170 0.5833
Pb 0.5000 0.3707 0.8444
La 0.0000 0.6897 0.6897
La 0.0000 0.4167 0.0830
Pb 0.5000 0.5000 0.5000
Pb 0.5000 0.1556 0.6293
La 0.0000 0.6259 0.3741
Ir 0.5000 0.2422 0.4466
Pb 0.5000 0.8444 0.3707

Output
VASP energy = -5.763 eV per atom
Volume = 691.79 Å³/cell
Symmetry = Cmmm
Magnetic moment = 0.00 μB/cell

---

Density functional theory data (GGA-PBE) for an optimized crystal structure of CaTcSb2.

Unit cell a=4.9858 b=4.9858 c=3.6178 alpha=89.94 beta=89.94 gamma=100.73
Element x y z (fractional)
Tc 0.5000 0.0000 0.5000
Sb 0.0000 0.0000 0.0000
Sb 0.5000 0.5000 0.0000
Ca 0.0000 0.5000 0.5000

Output
VASP energy = -5.067 eV per atom
Volume = 88.36 Å³/cell
Energy relative to the lowest polymorph listed for this composition = 0.326 eV per atom
Formation energy from raw total energies = 1.97 kcal/mol of atoms
Symmetry = Cmmm
Magnetic moment = 0.65 μB/cell

---

Density functional theory data (GGA-PBE) for an optimized crystal structure of RbLaSn3.

Unit cell a=6.1449 b=6.1449 c=6.1449 alpha=90.00 beta=90.00 gamma=90.00
Element x y z (fractional)
Sn 0.0000 0.5000 0.0000
Rb 0.5000 0.5000 0.5000
Sn 0.0000 0.0000 0.5000
Sn 0.5000 0.0000 0.0000
La 0.0000 0.0000 0.0000

Output
VASP energy = -3.399 eV per atom
Volume = 232.03 Å³/cell
Energy relative to the lowest polymorph listed for this composition = 0.000 eV per atom
Symmetry = Pm-3m
Magnetic moment = 0.00 μB/cell

---

Density functional theory data (GGA-PBE) for an optimized crystal structure of ZnMo2As.

Unit cell a=4.1322 b=2.8308 c=5.4150 alpha=80.04 beta=90.00 gamma=90.00
Element x y z (fractional)
Mo 0.0000 0.9417 0.0042
Zn 0.5000 0.2500 0.2500
As 0.5000 0.7500 0.7500
Mo 0.0000 0.5583 0.4958

Output
VASP energy = -6.683 eV per atom
Volume = 62.39 Å³/cell
Energy relative to the lowest polymorph listed for this composition = 0.186 eV per atom
Symmetry = P2/m
Magnetic moment = 0.00 μB/cell

---

Density functional theory data (GGA-PBE) for an optimized crystal structure of CoMo2W.

Unit cell a=4.8189 b=4.8189 c=4.8189 alpha=132.94 beta=132.94 gamma=68.74
Element x y z (fractional)
Mo 0.0000 0.0000 0.0000
Co 0.7500 0.2500 0.5000
Mo 0.2500 0.7500 0.5000
W 0.5000 0.5000 0.0000

Output
VASP energy = -10.182 eV per atom
Volume = 58.88 Å³/cell
Energy relative to the lowest polymorph listed for this composition = 0.174 eV per atom
Symmetry = I-4m2
Magnetic moment = 0.00 μB/cell

---

Density functional theory data (GGA-PBE) for an optimized crystal structure of ScSiRh4.

Unit cell a=4.0365 b=4.1071 c=7.2214 alpha=73.48 beta=73.77 gamma=60.57
Element x y z (fractional)
Rh 0.6308 0.6312 0.1073
Si 0.0000 0.0000 0.0000
Sc 0.5000 0.5000 0.5000
Rh 0.3692 0.3688 0.8927
Rh 0.8786 0.8939 0.3489
Rh 0.1214 0.1061 0.6511

Output
VASP energy = -7.267 eV per atom
Volume = 98.55 Å³/cell
Energy relative to the lowest polymorph listed for this composition = 0.000 eV per atom
Formation energy from raw total energies = -9.37 kcal/mol of atoms
Symmetry = C2/m
Magnetic moment = 0.00 μB/cell